No. 1
{
  "formula": "ReTcPO",
  "functional": "PBE",
  "state": "optimized geometry",
  "lattice": [[4.047, 0.000, 0.000], [0.000, 4.047, 0.000], [0.000, 0.000, 5.922]],
  "species": ["Re", "Re", "Tc", "Tc", "P", "P", "O", "O"],
  "frac_coords": [[0.250, 0.250, 0.144], [0.750, 0.750, 0.856], [0.250, 0.750, 0.500], [0.750, 0.250, 0.500], [0.250, 0.250, 0.710], [0.750, 0.750, 0.290], [0.250, 0.750, 0.000], [0.750, 0.250, 0.000]],
  "space_group": "P4/nmm (129)",
  "energy_ev_per_atom": -8.43,
  "total_magnetization_mub_per_fu": 0.73
}

---

No. 2
{
  "formula": "Nd2SnGe",
  "functional": "PBE",
  "state": "optimized geometry",
  "lattice": [[4.233, 0.000, 0.000], [0.000, 2.298, 5.727], [0.000, -2.298, 5.727]],
  "species": ["Nd", "Nd", "Sn", "Ge"],
  "frac_coords": [[0.000, 0.000, 0.000], [0.500, 0.277, 0.277], [0.500, 0.559, 0.559], [0.000, 0.730, 0.730]],
  "space_group": "Amm2 (38)",
  "energy_ev_per_atom": -5.34,
  "total_magnetization_mub_per_fu": 0.01
}

---

No. 3
{
  "formula": "NaTbPu",
  "functional": "PBE",
  "state": "optimized geometry",
  "lattice": [[0.000, 3.735, 3.735], [3.735, 0.000, 3.735], [3.735, 3.735, 0.000]],
  "species": ["Na", "Tb", "Pu"],
  "frac_coords": [[0.000, 0.000, 0.000], [0.250, 0.250, 0.250], [0.750, 0.750, 0.750]],
  "space_group": "F-43m (216)",
  "energy_ev_per_atom": -5.75,
  "total_magnetization_mub_per_fu": 7.87
}

---

No. 4
{
  "formula": "LuC2",
  "functional": "PBE",
  "state": "optimized geometry",
  "lattice": [[-1.779, 1.779, 3.020], [1.779, -1.779, 3.020], [1.779, 1.779, -3.020]],
  "species": ["Lu", "C", "C"],
  "frac_coords": [[0.000, 0.000, 0.000], [0.392, 0.392, 0.000], [0.608, 0.608, 0.000]],
  "space_group": "I4/mmm (139)",
  "energy_ev_per_atom": -7.85,
  "total_magnetization_mub_per_fu": 0.00
}

---

No. 5
{
  "formula": "PrGe2Ir",
  "functional": "PBE",
  "state": "optimized geometry",
  "lattice": [[-2.206, 4.519, 8.171], [2.206, -4.519, 8.171], [2.206, 4.519, -8.171]],
  "species": ["Pr", "Pr", "Pr", "Pr", "Ge", "Ge", "Ge", "Ge", "Ge", "Ge", "Ge", "Ge", "Ir", "Ir", "Ir", "Ir"],
  "frac_coords": [[0.207, 0.207, 0.000], [0.238, 0.000, 0.238], [0.762, 0.000, 0.762], [0.793, 0.793, 0.000], [0.078, 0.578, 0.500], [0.147, 0.802, 0.345], [0.421, 0.421, 0.000], [0.457, 0.802, 0.655], [0.543, 0.198, 0.345], [0.579, 0.579, 0.000], [0.853, 0.198, 0.655], [0.922, 0.422, 0.500], [0.106, 0.354, 0.752], [0.399, 0.646, 0.752], [0.601, 0.354, 0.248], [0.894, 0.646, 0.248]],
  "space_group": "Immm (71)",
  "energy_ev_per_atom": -6.51,
  "total_magnetization_mub_per_fu": 0.00
}

---

No. 6
{
  "formula": "LiTcAgO3",
  "functional": "PBE",
  "state": "optimized geometry",
  "lattice": [[10.789, 0.000, 0.000], [0.000, 2.799, 0.000], [0.000, 0.000, 8.577]],
  "species": ["Li", "Li", "Li", "Li", "Tc", "Tc", "Tc", "Tc", "Ag", "Ag", "Ag", "Ag", "O", "O", "O", "O", "O", "O", "O", "O", "O", "O", "O", "O"],
  "frac_coords": [[0.214, 0.250, 0.178], [0.286, 0.750, 0.678], [0.714, 0.250, 0.322], [0.786, 0.750, 0.822], [0.037, 0.250, 0.876], [0.463, 0.750, 0.376], [0.537, 0.250, 0.624], [0.963, 0.750, 0.124], [0.116, 0.250, 0.492], [0.384, 0.750, 0.992], [0.616, 0.250, 0.008], [0.884, 0.750, 0.508], [0.048, 0.250, 0.257], [0.135, 0.750, 0.008], [0.173, 0.250, 0.734], [0.327, 0.750, 0.234], [0.365, 0.250, 0.508], [0.452, 0.750, 0.757], [0.548, 0.250, 0.243], [0.635, 0.750, 0.492], [0.673, 0.250, 0.766], [0.827, 0.750, 0.266], [0.865, 0.250, 0.992], [0.952, 0.750, 0.743]],
  "space_group": "Pnma (62)",
  "energy_ev_per_atom": -6.19,
  "total_magnetization_mub_per_fu": 0.00
}

---

No. 7
{
  "formula": "SrScAuSe2S",
  "functional": "PBE",
  "state": "optimized geometry",
  "lattice": [[2.016, -6.742, 0.000], [2.016, 6.742, 0.000], [0.000, 0.000, 10.240]],
  "species": ["Sr", "Sr", "Sc", "Sc", "Au", "Au", "Se", "Se", "Se", "Se", "S", "S"],
  "frac_coords": [[0.247, 0.753, 0.750], [0.753, 0.247, 0.250], [0.500, 0.500, 0.000], [0.500, 0.500, 0.500], [0.034, 0.966, 0.250], [0.966, 0.034, 0.750], [0.140, 0.860, 0.042], [0.140, 0.860, 0.458], [0.860, 0.140, 0.542], [0.860, 0.140, 0.958], [0.419, 0.581, 0.250], [0.581, 0.419, 0.750]],
  "space_group": "Cmcm (63)",
  "energy_ev_per_atom": -5.10,
  "total_magnetization_mub_per_fu": 0.00
}

---

No. 8
{
  "formula": "Dy2HoTmIr4",
  "functional": "PBE",
  "state": "optimized geometry",
  "lattice": [[4.814, 0.000, 0.000], [0.000, 4.814, 0.000], [0.000, 0.000, 6.810]],
  "species": ["Dy", "Dy", "Ho", "Tm", "Ir", "Ir", "Ir", "Ir"],
  "frac_coords": [[0.000, 0.000, 0.000], [0.500, 0.500, 0.500], [0.000, 0.000, 0.500], [0.500, 0.500, 0.000], [0.000, 0.500, 0.249], [0.000, 0.500, 0.751], [0.500, 0.000, 0.249], [0.500, 0.000, 0.751]],
  "space_group": "P4/mmm (123)",
  "energy_ev_per_atom": -7.56,
  "ef_mev_per_atom": -851.7,
  "total_magnetization_mub_per_fu": 0.01
}

---

No. 9
{
  "formula": "ScCuOsPb",
  "functional": "PBE",
  "state": "optimized geometry",
  "lattice": [[0.000, 3.285, 3.285], [3.285, 0.000, 3.285], [3.285, 3.285, 0.000]],
  "species": ["Sc", "Cu", "Os", "Pb"],
  "frac_coords": [[0.000, 0.000, 0.000], [0.500, 0.500, 0.500], [0.750, 0.750, 0.750], [0.250, 0.250, 0.250]],
  "space_group": "F-43m (216)",
  "energy_ev_per_atom": -5.92,
  "total_magnetization_mub_per_fu": 0.02
}

---

No. 10
{
  "formula": "PrCoSi",
  "functional": "PBE",
  "state": "optimized geometry",
  "lattice": [[0.000, 3.286, 3.286], [3.286, 0.000, 3.286], [3.286, 3.286, 0.000]],
  "species": ["Pr", "Co", "Si"],
  "frac_coords": [[0.000, 0.000, 0.000], [0.750, 0.750, 0.750], [0.250, 0.250, 0.250]],
  "space_group": "F-43m (216)",
  "energy_ev_per_atom": -5.03,
  "total_magnetization_mub_per_fu": 0.02
}

---

No. 11
{
  "formula": "Tm3Mg3InGa2",
  "functional": "PBE",
  "state": "optimized geometry",
  "lattice": [[7.245, 0.000, 0.000], [-3.622, 6.274, 0.000], [0.000, 0.000, 4.520]],
  "species": ["Tm", "Tm", "Tm", "Mg", "Mg", "Mg", "In", "Ga", "Ga"],
  "frac_coords": [[0.000, 0.440, 0.000], [0.440, 0.000, 0.000], [0.560, 0.560, 0.000], [0.000, 0.751, 0.500], [0.249, 0.249, 0.500], [0.751, 0.000, 0.500], [0.000, 0.000, 0.000], [0.333, 0.667, 0.500], [0.667, 0.333, 0.500]],
  "space_group": "P-62m (189)",
  "energy_ev_per_atom": -3.42,
  "total_magnetization_mub_per_fu": 0.00
}

---

No. 12
{
  "formula": "AcAgPO",
  "functional": "PBE",
  "state": "optimized geometry",
  "lattice": [[4.264, 0.000, 0.000], [0.000, 4.264, 0.000], [0.000, 0.000, 8.791]],
  "species": ["Ac", "Ac", "Ag", "Ag", "P", "P", "O", "O"],
  "frac_coords": [[0.250, 0.250, 0.144], [0.750, 0.750, 0.856], [0.250, 0.750, 0.500], [0.750, 0.250, 0.500], [0.250, 0.250, 0.664], [0.750, 0.750, 0.336], [0.250, 0.750, 0.000], [0.750, 0.250, 0.000]],
  "space_group": "P4/nmm (129)",
  "energy_ev_per_atom": -5.94,
  "total_magnetization_mub_per_fu": 0.00
}